This record from Alexandria describes an optimized crystal structure of SbH3Pb. The functional is GGA-PBE.

Cell and atoms, written as extended XYZ:
```
5
Lattice="4.163 0.000 0.000 0.000 4.163 0.000 0.000 0.000 4.163" Properties=species:S:1:pos:R:3 pbc="T T T"
Sb 0.000 0.000 0.000
H 0.000 0.000 2.081
H 0.000 2.081 0.000
H 2.081 0.000 0.000
Pb 2.081 2.081 2.081
```

M_tot ... 0.0000 μB per atom
Crystal system ... cubic
Total DFT energy (no corrections) ... -2.992 eV per atom

This record from Alexandria describes an optimized crystal structure of Sb2H2Pb. The functional is GGA-PBE.

Cell and atoms, written as extended XYZ:
```
10
Lattice="8.014 0.000 0.000 0.000 8.014 0.000 0.000 0.000 3.209" Properties=species:S:1:pos:R:3 pbc="T T T"
Sb 1.009 2.998 0.000
Sb 2.998 7.005 0.000
Sb 5.016 1.009 0.000
Sb 7.005 5.016 0.000
H 0.776 4.783 1.604
H 3.231 0.776 1.604
H 4.783 7.238 1.604
H 7.238 3.231 1.604
Pb 0.000 0.000 0.000
Pb 4.007 4.007 0.000
```

M_tot ... 0.0000 μB per atom
Crystal system ... tetragonal
Total DFT energy (no corrections) ... -3.150 eV per atom

This record from Alexandria describes an optimized crystal structure of SbH2Pb. The functional is GGA-PBE.

Cell and atoms, written as extended XYZ:
```
16
Lattice="7.825 0.000 0.000 0.000 3.875 0.000 -7.591 0.000 11.072" Properties=species:S:1:pos:R:3 pbc="T T T"
Sb -0.205 0.104 2.328
Sb -4.001 1.834 7.864
Sb 4.235 2.041 3.208
Sb 0.439 3.771 8.744
H -3.171 0.754 6.740
H 0.624 1.183 1.204
H -2.518 2.706 8.149
H 1.278 3.106 2.613
H -1.044 0.769 8.458
H 2.751 1.169 2.923
H -0.390 2.692 9.868
H 3.405 3.120 4.332
Pb -5.047 0.894 10.619
Pb -1.251 1.043 5.083
Pb 1.485 2.832 5.989
Pb 5.280 2.980 0.453
```

M_tot ... 0.0000 μB per atom
Crystal system ... monoclinic
Total DFT energy (no corrections) ... -3.331 eV per atom

This record from Alexandria describes an optimized crystal structure of SbH2Pb2. The functional is GGA-PBE.

Cell and atoms, written as extended XYZ:
```
5
Lattice="-1.956 1.956 6.544 1.956 -1.956 6.544 1.956 1.956 -6.544" Properties=species:S:1:pos:R:3 pbc="T T T"
Sb 0.000 0.000 0.000
H 1.956 0.000 3.272
H 0.000 1.956 3.272
Pb 0.000 0.000 4.636
Pb 0.000 0.000 8.452
```

M_tot ... 0.0000 μB per atom
Crystal system ... tetragonal
Total DFT energy (no corrections) ... -3.347 eV per atom

This record from Alexandria describes an optimized crystal structure of Sb2HPb. The functional is GGA-PBE.

Cell and atoms, written as extended XYZ:
```
8
Lattice="-2.999 2.999 5.790 2.999 -2.999 5.790 2.999 2.999 -5.790" Properties=species:S:1:pos:R:3 pbc="T T T"
Sb 0.670 1.500 1.448
Sb -1.500 2.329 4.343
Sb -0.670 4.499 1.448
Sb 1.500 3.670 4.343
H 0.000 0.000 0.000
H 0.000 2.999 2.895
Pb 2.999 0.000 2.895
Pb 0.000 0.000 5.790
```

M_tot ... 0.0000 μB per atom
Crystal system ... tetragonal
Total DFT energy (no corrections) ... -3.409 eV per atom

This record from Alexandria describes an optimized crystal structure of SbHPb2. The functional is GGA-PBE.

Cell and atoms, written as extended XYZ:
```
4
Lattice="0.000 3.713 3.713 3.713 0.000 3.713 3.713 3.713 0.000" Properties=species:S:1:pos:R:3 pbc="T T T"
Sb 0.000 0.000 0.000
H 3.713 3.713 3.713
Pb 1.856 1.856 1.856
Pb 5.569 5.569 5.569
```

M_tot ... 0.0000 μB per atom
Crystal system ... cubic
Total DFT energy (no corrections) ... -3.351 eV per atom

This record from Alexandria describes an optimized crystal structure of SbH2Pb. The functional is GGA-PBE.

Cell and atoms, written as extended XYZ:
```
8
Lattice="-2.264 2.264 6.973 2.264 -2.264 6.973 2.264 2.264 -6.973" Properties=species:S:1:pos:R:3 pbc="T T T"
Sb 0.000 0.000 0.000
Sb 0.000 2.264 3.487
H 3.396 0.728 -1.743
H 0.728 1.132 1.743
H -1.132 1.536 5.230
H 1.536 1.132 8.716
Pb 2.264 0.000 3.487
Pb 0.000 0.000 6.973
```

M_tot ... 0.0000 μB per atom
Crystal system ... tetragonal
Total DFT energy (no corrections) ... -3.148 eV per atom

This record from Alexandria describes an optimized crystal structure of SbHPb2. The functional is GGA-PBE.

Cell and atoms, written as extended XYZ:
```
4
Lattice="2.918 -1.766 0.000 2.918 1.766 0.000 -2.758 0.000 9.637" Properties=species:S:1:pos:R:3 pbc="T T T"
Sb 0.000 0.000 0.000
H 3.019 0.000 5.250
Pb -0.482 0.000 6.940
Pb 3.060 0.000 3.210
```

M_tot ... 0.0000 μB per atom
Crystal system ... monoclinic
Total DFT energy (no corrections) ... -3.477 eV per atom